[1]
Compound: MgNi3H
Source: Alexandria
Functional: GGA-PBE
Structure: relaxed

Results
**Electronic total energy**: -4.4099 eV per atom

Cell lengths 4.7050, 4.7050, 4.7050 Å; angles 89.92, 89.92, 89.92 degrees
Sites, in units of the cell vectors:
Ni  0.9976  0.5024  0.2500
Ni  0.5024  0.2500  0.9976
Ni  0.2500  0.9976  0.5024
Ni  0.7500  0.0024  0.4976
Ni  0.4976  0.7500  0.0024
Ni  0.0024  0.4976  0.7500
Mg  0.0000  0.0000  0.0000
Mg  0.5000  0.5000  0.5000
H  0.2500  0.2500  0.2500
H  0.7500  0.7500  0.7500

=====

[2]
Compound: BaLiZn2Co
Source: Alexandria
Functional: GGA-PBE
Structure: relaxed

Results
**Electronic total energy**: -2.6601 eV per atom
**ΔE_f**: 0.038 eV/atom

Cell lengths 4.7891, 4.7891, 4.8455 Å; angles 90.00, 90.00, 90.00 degrees
Sites, in units of the cell vectors:
Zn  0.0000  0.5000  0.0000
Zn  0.5000  0.0000  0.0000
Co  0.0000  0.0000  0.0000
Ba  0.5000  0.5000  0.5000
Li  0.0000  0.0000  0.5000

=====

[3]
Compound: AlHg
Source: Alexandria
Functional: GGA-PBE
Structure: relaxed

Results
**Electronic total energy**: -1.8089 eV per atom
**ΔE_f**: 0.213 eV/atom

Cell lengths 5.6546, 5.6546, 5.6546 Å; angles 136.67, 136.67, 62.94 degrees
Sites, in units of the cell vectors:
Hg  0.5000  0.5000  0.0000
Hg  0.7500  0.2500  0.5000
Al  0.0000  0.0000  0.0000
Al  0.2500  0.7500  0.5000

=====

[4]
Compound: Pm5Ho5Sc
Source: Alexandria
Functional: GGA-PBE
Structure: relaxed

Results
**Electronic total energy**: -4.4895 eV per atom
**ΔE_f**: 0.326 eV/atom

Cell lengths 6.0617, 6.0617, 11.6276 Å; angles 90.00, 90.00, 120.00 degrees
Sites, in units of the cell vectors:
Pm  0.6667  0.3333  0.1533
Pm  0.6667  0.3333  0.8467
Pm  0.3333  0.6667  0.3089
Pm  0.3333  0.6667  0.6911
Pm  0.0000  0.0000  0.0000
Ho  0.3348  0.1674  0.5000
Ho  0.0000  0.0000  0.2656
Ho  0.8326  0.6652  0.5000
Ho  0.8326  0.1674  0.5000
Ho  0.0000  0.0000  0.7344
Sc  0.3333  0.6667  0.0000